Entry 1:
A relaxed Na2AlZnP crystal. Source: Alexandria via LeMat-Bulk, functional GGA-PBE.

```
data_Na2AlZnP
_chemical_formula_sum 'Na2 Al1 Zn1 P1'
_space_group_name_H-M_alt 'P 1'
_space_group_IT_number 1
_cell_length_a 5.415
_cell_length_b 5.415
_cell_length_c 4.767
_cell_angle_alpha 90.00
_cell_angle_beta 90.00
_cell_angle_gamma 90.00
loop_
_space_group_symop_operation_xyz
'x,y,z'
loop_
_atom_site_label
_atom_site_type_symbol
_atom_site_fract_x
_atom_site_fract_y
_atom_site_fract_z
P1 P 0.000 0.000 0.000
Zn1 Zn 0.500 0.500 0.500
Al1 Al 0.000 0.000 0.500
Na1 Na 0.000 0.500 0.000
Na2 Na 0.500 0.000 0.000
```

**Symmetry**: P4/mmm, No. 123
**Magnetization**: 0.0000 μB/atom
**Calculated volume**: 27.96 Å³ per atom
**Energy of formation**: 0.5 eV per formula unit

Entry 2:
A relaxed Nd2Dy3Er5 crystal. Source: Alexandria via LeMat-Bulk, functional GGA-PBE.

```
data_Nd2Dy3Er5
_chemical_formula_sum 'Nd4 Dy6 Er10'
_space_group_name_H-M_alt 'P 1'
_space_group_IT_number 1
_cell_length_a 6.759
_cell_length_b 12.279
_cell_length_c 12.279
_cell_angle_alpha 44.80
_cell_angle_beta 74.03
_cell_angle_gamma 74.03
loop_
_space_group_symop_operation_xyz
'x,y,z'
loop_
_atom_site_label
_atom_site_type_symbol
_atom_site_fract_x
_atom_site_fract_y
_atom_site_fract_z
Nd1 Nd 0.126 0.772 0.977
Nd2 Nd 0.874 0.228 0.023
Nd3 Nd 0.626 0.977 0.772
Nd4 Nd 0.374 0.023 0.228
Dy1 Dy 0.250 0.000 0.000
Dy2 Dy 0.750 0.000 0.000
Dy3 Dy 0.373 0.378 0.875
Dy4 Dy 0.627 0.622 0.125
Dy5 Dy 0.873 0.875 0.378
Dy6 Dy 0.127 0.125 0.622
Er1 Er 0.250 0.500 0.500
Er2 Er 0.750 0.500 0.500
Er3 Er 0.502 0.748 0.748
Er4 Er 0.998 0.252 0.252
Er5 Er 0.498 0.252 0.252
Er6 Er 0.002 0.748 0.748
Er7 Er 0.124 0.462 0.289
Er8 Er 0.876 0.538 0.711
Er9 Er 0.624 0.289 0.462
Er10 Er 0.376 0.711 0.538
```

**Symmetry**: Ibam, No. 72
**Magnetization**: 0.0000 μB/atom
**Relative energy among the computed polymorphs**: 220.7 meV/atom
**Calculated volume**: 34.28 Å³ per atom
**Energy of formation**: 4.2 eV per formula unit

Entry 3:
A relaxed TeAs crystal. Source: Alexandria via LeMat-Bulk, functional GGA-PBE.

```
data_TeAs
_chemical_formula_sum 'Te2 As2'
_space_group_name_H-M_alt 'P 1'
_space_group_IT_number 1
_cell_length_a 5.114
_cell_length_b 5.114
_cell_length_c 5.114
_cell_angle_alpha 60.00
_cell_angle_beta 60.00
_cell_angle_gamma 60.00
loop_
_space_group_symop_operation_xyz
'x,y,z'
loop_
_atom_site_label
_atom_site_type_symbol
_atom_site_fract_x
_atom_site_fract_y
_atom_site_fract_z
As1 As 0.000 0.000 0.000
As2 As 0.250 0.250 0.250
Te1 Te 0.500 0.500 0.500
Te2 Te 0.750 0.750 0.750
```

**ΔE_f (raw)**: 0.47 eV per atom
**Symmetry**: Fd-3m, No. 227
**Magnetization**: 0.0000 μB/atom
**Calculated volume**: 23.64 Å³ per atom

Entry 4:
A relaxed Pa3Ga2Ni3 crystal. Source: Alexandria via LeMat-Bulk, functional GGA-PBE.

```
data_Pa3Ga2Ni3
_chemical_formula_sum 'Pa3 Ga2 Ni3'
_space_group_name_H-M_alt 'P 1'
_space_group_IT_number 1
_cell_length_a 3.880
_cell_length_b 4.217
_cell_length_c 9.168
_cell_angle_alpha 103.30
_cell_angle_beta 102.22
_cell_angle_gamma 90.00
loop_
_space_group_symop_operation_xyz
'x,y,z'
loop_
_atom_site_label
_atom_site_type_symbol
_atom_site_fract_x
_atom_site_fract_y
_atom_site_fract_z
Pa1 Pa 0.617 0.617 0.235
Pa2 Pa 0.383 0.383 0.765
Pa3 Pa 0.500 0.000 0.000
Ga1 Ga 0.748 0.248 0.496
Ga2 Ga 0.252 0.752 0.504
Ni1 Ni 0.152 0.152 0.303
Ni2 Ni 0.000 0.500 0.000
Ni3 Ni 0.848 0.848 0.697
```

**Symmetry**: Immm, No. 71
**Magnetization**: 0.0000 μB/atom
**Relative energy among the computed polymorphs**: 144.4 meV/atom
**Calculated volume**: 17.81 Å³ per atom
**Energy of formation**: -1.8 eV per formula unit

Entry 5:
A relaxed Zr2CuAu crystal. Source: Alexandria via LeMat-Bulk, functional GGA-PBE.

```
data_Zr2CuAu
_chemical_formula_sum 'Zr2 Cu1 Au1'
_space_group_name_H-M_alt 'P 1'
_space_group_IT_number 1
_cell_length_a 5.515
_cell_length_b 5.515
_cell_length_c 4.875
_cell_angle_alpha 69.66
_cell_angle_beta 69.66
_cell_angle_gamma 33.43
loop_
_space_group_symop_operation_xyz
'x,y,z'
loop_
_atom_site_label
_atom_site_type_symbol
_atom_site_fract_x
_atom_site_fract_y
_atom_site_fract_z
Au1 Au 0.523 0.523 0.516
Cu1 Cu 0.236 0.236 0.219
Zr1 Zr 0.986 0.986 0.051
Zr2 Zr 0.756 0.756 0.714
```

**Symmetry**: Cm, No. 8
**Magnetization**: 0.0000 μB/atom
**Calculated volume**: 19.03 Å³ per atom
**Energy of formation**: -0.9 eV per formula unit

Entry 6:
A relaxed TcSbTe2 crystal. Source: Alexandria via LeMat-Bulk, functional GGA-PBE.

```
data_TcSbTe2
_chemical_formula_sum 'Tc1 Sb1 Te2'
_space_group_name_H-M_alt 'P 1'
_space_group_IT_number 1
_cell_length_a 3.204
_cell_length_b 3.204
_cell_length_c 9.546
_cell_angle_alpha 90.00
_cell_angle_beta 90.00
_cell_angle_gamma 90.00
loop_
_space_group_symop_operation_xyz
'x,y,z'
loop_
_atom_site_label
_atom_site_type_symbol
_atom_site_fract_x
_atom_site_fract_y
_atom_site_fract_z
Sb1 Sb 0.500 0.500 0.250
Tc1 Tc 0.500 0.500 0.750
Te1 Te 0.000 0.000 0.929
Te2 Te 0.000 0.000 0.571
```

**ΔE_f (raw)**: 0.16 eV per atom
**Symmetry**: P4/mmm, No. 123
**Magnetization**: 0.0000 μB/atom
**Calculated volume**: 24.50 Å³ per atom

> Among the records above, which one has the highest calculated volume?

Nd2Dy3Er5

> What is the magnetization in the sixth record?

0.0000 μB/atom

> What is the formula in the second record?

Nd2Dy3Er5

> Look up the calculated volume of the first one.

27.96 Å³ per atom